A relaxed MgV8O8F8 crystal. Source: Alexandria, functional PBE+U.

Output
Uncorrected energy   -6.91 eV per atom
V   12.2 A^3/atom
SG   No. 1
Size of the total moment   18.00 μB/cell
ΔE to the lowest computed polymorph   47 meV per atom

Cell: 5.082 5.658 10.809 Å, 79.74 88.16 85.26°
Fractional coordinates of all 25 atoms:
1 O 0.280 0.242 0.578
2 O 0.676 0.715 0.445
3 O 0.283 0.310 0.102
4 O 0.260 0.456 0.825
5 O 0.812 0.622 0.928
6 O 0.168 0.505 0.339
7 O 0.687 0.943 0.684
8 O 0.865 0.081 0.142
9 V 0.019 0.279 0.977
10 V 0.969 0.718 0.753
11 V 0.986 0.482 0.497
12 V 0.467 0.714 0.287
13 V 0.028 0.267 0.250
14 V 0.500 0.977 0.516
15 V 0.460 0.210 0.733
16 V 0.460 0.501 0.971
17 F 0.375 0.793 0.065
18 F 0.665 0.158 0.908
19 F 0.762 0.551 0.183
20 F 0.787 0.443 0.679
21 F 0.778 0.215 0.427
22 F 0.275 0.012 0.350
23 F 0.180 0.745 0.582
24 F 0.183 0.967 0.817
25 Mg 0.754 0.855 0.046